Rb2PAuI (GGA-PBE, relaxed); total energy = -3.088 eV/atom; total moment = 0.000 μB per formula unit; crystal system = tetragonal; raw formation energy = -3.27 eV/f.u.; N(E_F) = 1.847 states/eV/f.u.
1.0
6.7430 0.0000 0.0000
0.0000 6.7430 0.0000
0.0000 0.0000 4.4993
Rb Au P I
2 1 1 1
direct
0.5000 0.0000 0.0000
0.0000 0.5000 0.0000
0.0000 0.0000 0.5000
0.0000 0.0000 0.0000
0.5000 0.5000 0.5000

***

Rb2PAuI6 (GGA-PBE, relaxed); total energy = -2.564 eV/atom; total moment = 0.000 μB per formula unit; crystal system = tetragonal; raw formation energy = -5.72 eV/f.u.; N(E_F) = 0.775 states/eV/f.u.
1.0
8.1260 0.0000 0.0000
0.0000 8.1260 0.0000
4.0630 4.0630 5.8311
Rb P I Au
2 1 6 1
direct
0.2500 0.7500 0.5000
0.7500 0.2500 0.5000
0.5000 0.5000 0.0000
0.2578 0.2578 0.4844
0.2546 0.7454 0.0000
0.7454 0.7454 0.0000
0.7454 0.2546 0.0000
0.2546 0.2546 0.0000
0.7422 0.7422 0.5156
0.0000 0.0000 0.0000